[1]
# PBE-GGA LaYTcP2, optimized geometry
# raw total energy = -5.33 eV/atom
# size of the total moment = 3.6 μB per formula unit
# DOS(E_F) = 5.3 states/eV/f.u.
# density = 4.16 g/cm3
data_LaYTcP2
_space_group_name_H-M_alt 'P 4/m m m'
_space_group_IT_number 123
_space_group_name_Hall '-P 4 2'
_cell_length_a 5.131
_cell_length_b 5.131
_cell_length_c 5.876
_cell_angle_alpha 90.00
_cell_angle_beta 90.00
_cell_angle_gamma 90.00
loop_
_atom_site_label
_atom_site_fract_x
_atom_site_fract_y
_atom_site_fract_z
La1 0.000 0.000 0.000
Y1 0.000 0.000 0.500
Tc1 0.500 0.500 0.000
P1 0.000 0.500 0.500



[2]
# PBE-GGA La6Te5P, optimized geometry
# raw formation energy = -1.6234 eV per atom
# raw total energy = -5.85 eV/atom
# size of the total moment = 0.0 μB per formula unit
# DOS(E_F) = 7.4 states/eV/f.u.
# density = 6.30 g/cm3
data_La6Te5P
_space_group_name_H-M_alt 'C 1 2/m 1'
_space_group_IT_number 12
_space_group_name_Hall '-C 2y'
_cell_length_a 7.858
_cell_length_b 13.605
_cell_length_c 7.854
_cell_angle_alpha 90.00
_cell_angle_beta 109.41
_cell_angle_gamma 90.00
loop_
_atom_site_label
_atom_site_fract_x
_atom_site_fract_y
_atom_site_fract_z
La1 0.227 0.000 0.263
La2 0.230 0.154 0.730
Te1 0.000 0.175 0.000
Te2 0.000 0.335 0.500
Te3 0.000 0.500 0.000
P1 0.000 0.000 0.500



[3]
# PBE-GGA La5Te4P, optimized geometry
# raw formation energy = -1.5938 eV per atom
# raw total energy = -5.86 eV/atom
# size of the total moment = 0.0 μB per formula unit
# DOS(E_F) = 5.6 states/eV/f.u.
# density = 6.26 g/cm3
data_La5Te4P
_space_group_name_H-M_alt 'I 4/m m m'
_space_group_IT_number 139
_space_group_name_Hall '-I 4 2'
_cell_length_a 4.515
_cell_length_b 4.515
_cell_length_c 32.150
_cell_angle_alpha 90.00
_cell_angle_beta 90.00
_cell_angle_gamma 90.00
loop_
_atom_site_label
_atom_site_fract_x
_atom_site_fract_y
_atom_site_fract_z
La1 0.000 0.000 0.000
La2 0.000 0.000 0.204
La3 0.000 0.000 0.410
Te1 0.000 0.000 0.101
Te2 0.000 0.000 0.305
P1 0.000 0.000 0.500



[4]
# PBE-GGA La3Te2P, optimized geometry
# raw formation energy = -1.6424 eV per atom
# raw total energy = -6.05 eV/atom
# size of the total moment = 0.0 μB per formula unit
# DOS(E_F) = 3.2 states/eV/f.u.
# density = 6.11 g/cm3
# offset from the most stable computed form = 0.00 eV per formula unit
data_La3Te2P
_space_group_name_H-M_alt 'C 1 2/m 1'
_space_group_IT_number 12
_space_group_name_Hall '-C 2y'
_cell_length_a 7.705
_cell_length_b 13.323
_cell_length_c 7.871
_cell_angle_alpha 90.00
_cell_angle_beta 109.03
_cell_angle_gamma 90.00
loop_
_atom_site_label
_atom_site_fract_x
_atom_site_fract_y
_atom_site_fract_z
La1 0.219 0.000 0.220
La2 0.248 0.177 0.776
Te1 0.000 0.000 0.500
Te2 0.000 0.340 0.500
Te3 0.000 0.500 0.000
P1 0.000 0.168 0.000



[5]
# PBE-GGA La4TeP3, optimized geometry
# raw formation energy = -1.6294 eV per atom
# raw total energy = -6.51 eV/atom
# size of the total moment = 0.0 μB per formula unit
# DOS(E_F) = 2.4 states/eV/f.u.
# density = 5.51 g/cm3
data_La4TeP3
_space_group_name_H-M_alt 'P 63/m m c'
_space_group_IT_number 194
_space_group_name_Hall '-P 6c 2c'
_cell_length_a 4.3210
_cell_length_b 4.3210
_cell_length_c 28.9548
_cell_angle_alpha 90.00
_cell_angle_beta 90.00
_cell_angle_gamma 120.00
loop_
_atom_site_label
_atom_site_fract_x
_atom_site_fract_y
_atom_site_fract_z
La1 0.0000 0.0000 0.1736
La2 0.3333 0.6667 0.0577
Te1 0.3333 0.6667 0.2500
P1 0.0000 0.0000 0.0000
P2 0.3333 0.6667 0.6205



[6]
# PBE-GGA La3Te2P, optimized geometry
# raw formation energy = -1.6167 eV per atom
# raw total energy = -6.03 eV/atom
# size of the total moment = 0.0 μB per formula unit
# DOS(E_F) = 3.5 states/eV/f.u.
# density = 6.11 g/cm3
# offset from the most stable computed form = 0.15 eV per formula unit
data_La3Te2P
_space_group_name_H-M_alt 'C 1 2/c 1'
_space_group_IT_number 15
_space_group_name_Hall '-C 2yc'
_cell_length_a 7.874
_cell_length_b 13.400
_cell_length_c 7.676
_cell_angle_alpha 90.00
_cell_angle_beta 109.43
_cell_angle_gamma 90.00
loop_
_atom_site_label
_atom_site_fract_x
_atom_site_fract_y
_atom_site_fract_z
La1 0.215 0.073 0.496
La2 0.250 0.250 0.000
Te1 0.000 0.259 0.250
Te2 0.000 0.419 0.750
P1 0.000 0.088 0.750



[7]
# PBE-GGA LaTe4P, optimized geometry
# raw formation energy = 0.0841 eV per atom
# raw total energy = -3.73 eV/atom
# size of the total moment = 0.8 μB per formula unit
# DOS(E_F) = 6.2 states/eV/f.u.
# density = 6.50 g/cm3
data_LaTe4P
_space_group_name_H-M_alt 'F -4 3 m'
_space_group_IT_number 216
_space_group_name_Hall 'F -4 2 3'
_cell_length_a 8.860
_cell_length_b 8.860
_cell_length_c 8.860
_cell_angle_alpha 90.00
_cell_angle_beta 90.00
_cell_angle_gamma 90.00
loop_
_atom_site_label
_atom_site_fract_x
_atom_site_fract_y
_atom_site_fract_z
La1 0.000 0.000 0.000
Te1 0.125 0.125 0.375
P1 0.250 0.250 0.750



[8]
# PBE-GGA La3TeP, optimized geometry
# raw formation energy = -0.8705 eV per atom
# raw total energy = -5.54 eV/atom
# size of the total moment = 0.0 μB per formula unit
# DOS(E_F) = 6.9 states/eV/f.u.
# density = 5.59 g/cm3
# offset from the most stable computed form = 0.00 eV per formula unit
data_La3TeP
_space_group_name_H-M_alt 'P m -3 m'
_space_group_IT_number 221
_space_group_name_Hall '-P 4 2 3'
_cell_length_a 5.548
_cell_length_b 5.548
_cell_length_c 5.548
_cell_angle_alpha 90.00
_cell_angle_beta 90.00
_cell_angle_gamma 90.00
loop_
_atom_site_label
_atom_site_fract_x
_atom_site_fract_y
_atom_site_fract_z
La1 0.000 0.000 0.500
Te1 0.500 0.500 0.500
P1 0.000 0.000 0.000



[9]
# PBE-GGA La3TeP2, optimized geometry
# raw formation energy = -1.5756 eV per atom
# raw total energy = -6.37 eV/atom
# size of the total moment = 0.0 μB per formula unit
# DOS(E_F) = 1.9 states/eV/f.u.
# density = 5.64 g/cm3
data_La3TeP2
_space_group_name_H-M_alt 'I 4/m m m'
_space_group_IT_number 139
_space_group_name_Hall '-I 4 2'
_cell_length_a 4.395
_cell_length_b 4.395
_cell_length_c 18.481
_cell_angle_alpha 90.00
_cell_angle_beta 90.00
_cell_angle_gamma 90.00
loop_
_atom_site_label
_atom_site_fract_x
_atom_site_fract_y
_atom_site_fract_z
La1 0.000 0.000 0.000
La2 0.000 0.000 0.325
Te1 0.000 0.000 0.500
P1 0.000 0.000 0.165



[10]
# PBE-GGA La5Te5P, optimized geometry
# raw formation energy = -1.5943 eV per atom
# raw total energy = -5.75 eV/atom
# size of the total moment = 0.0 μB per formula unit
# DOS(E_F) = 4.8 states/eV/f.u.
# density = 5.79 g/cm3
data_La5Te5P
_space_group_name_H-M_alt 'C 1 2/m 1'
_space_group_IT_number 12
_space_group_name_Hall '-C 2y'
_cell_length_a 14.334
_cell_length_b 6.404
_cell_length_c 8.999
_cell_angle_alpha 90.00
_cell_angle_beta 108.78
_cell_angle_gamma 90.00
loop_
_atom_site_label
_atom_site_fract_x
_atom_site_fract_y
_atom_site_fract_z
La1 0.000 0.000 0.000
La2 0.155 0.500 0.841
La3 0.156 0.500 0.317
Te1 0.000 0.500 0.500
Te2 0.164 0.000 0.826
Te3 0.172 0.000 0.335
P1 0.000 0.500 0.000



[11]
# PBE-GGA LaTeP3, optimized geometry
# raw formation energy = 1.0046 eV per atom
# raw total energy = -3.86 eV/atom
# size of the total moment = 0.0 μB per formula unit
# DOS(E_F) = 9.5 states/eV/f.u.
# density = 3.64 g/cm3
# offset from the most stable computed form = 3.96 eV per formula unit
data_LaTeP3
_space_group_name_H-M_alt 'P m -3 m'
_space_group_IT_number 221
_space_group_name_Hall '-P 4 2 3'
_cell_length_a 5.472
_cell_length_b 5.472
_cell_length_c 5.472
_cell_angle_alpha 90.00
_cell_angle_beta 90.00
_cell_angle_gamma 90.00
loop_
_atom_site_label
_atom_site_fract_x
_atom_site_fract_y
_atom_site_fract_z
La1 0.000 0.000 0.000
Te1 0.500 0.500 0.500
P1 0.000 0.000 0.500



[12]
# PBE-GGA LaTeP4, optimized geometry
# raw formation energy = -0.2478 eV per atom
# raw total energy = -5.20 eV/atom
# size of the total moment = 0.0 μB per formula unit
# DOS(E_F) = 2.1 states/eV/f.u.
# density = 5.04 g/cm3
data_LaTeP4
_space_group_name_H-M_alt 'F -4 3 m'
_space_group_IT_number 216
_space_group_name_Hall 'F -4 2 3'
_cell_length_a 8.014
_cell_length_b 8.014
_cell_length_c 8.014
_cell_angle_alpha 90.00
_cell_angle_beta 90.00
_cell_angle_gamma 90.00
loop_
_atom_site_label
_atom_site_fract_x
_atom_site_fract_y
_atom_site_fract_z
La1 0.000 0.000 0.000
Te1 0.250 0.250 0.250
P1 0.102 0.102 0.602



[13]
# PBE-GGA LaTeP3, optimized geometry
# raw formation energy = 0.2131 eV per atom
# raw total energy = -4.65 eV/atom
# size of the total moment = 0.0 μB per formula unit
# DOS(E_F) = 3.1 states/eV/f.u.
# density = 4.68 g/cm3
# offset from the most stable computed form = 0.00 eV per formula unit
data_LaTeP3
_space_group_name_H-M_alt 'P m -3 m'
_space_group_IT_number 221
_space_group_name_Hall '-P 4 2 3'
_cell_length_a 5.032
_cell_length_b 5.032
_cell_length_c 5.032
_cell_angle_alpha 90.00
_cell_angle_beta 90.00
_cell_angle_gamma 90.00
loop_
_atom_site_label
_atom_site_fract_x
_atom_site_fract_y
_atom_site_fract_z
La1 0.000 0.000 0.000
Te1 0.500 0.500 0.500
P1 0.000 0.500 0.500



[14]
# PBE-GGA La4TlTe2P, optimized geometry
# raw formation energy = -1.2725 eV per atom
# raw total energy = -5.49 eV/atom
# size of the total moment = 0.0 μB per formula unit
# DOS(E_F) = 3.8 states/eV/f.u.
# density = 6.62 g/cm3
data_La4TlTe2P
_space_group_name_H-M_alt 'P 1 2/m 1'
_space_group_IT_number 10
_space_group_name_Hall '-P 2y'
_cell_length_a 7.892
_cell_length_b 4.433
_cell_length_c 7.917
_cell_angle_alpha 90.00
_cell_angle_beta 108.54
_cell_angle_gamma 90.00
loop_
_atom_site_label
_atom_site_fract_x
_atom_site_fract_y
_atom_site_fract_z
La1 0.228 0.000 0.225
La2 0.241 0.500 0.760
Tl1 0.500 0.000 0.000
Te1 0.000 0.000 0.500
Te2 0.500 0.500 0.500
P1 0.000 0.500 0.000



[15]
# PBE-GGA LaTeP2W, optimized geometry
# raw formation energy = -0.3323 eV per atom
# raw total energy = -6.70 eV/atom
# size of the total moment = 0.0 μB per formula unit
# DOS(E_F) = 3.0 states/eV/f.u.
# density = 6.84 g/cm3
data_LaTeP2W
_space_group_name_H-M_alt 'P 4/m m m'
_space_group_IT_number 123
_space_group_name_Hall '-P 4 2'
_cell_length_a 4.664
_cell_length_b 4.664
_cell_length_c 5.714
_cell_angle_alpha 90.00
_cell_angle_beta 90.00
_cell_angle_gamma 90.00
loop_
_atom_site_label
_atom_site_fract_x
_atom_site_fract_y
_atom_site_fract_z
La1 0.000 0.000 0.000
Te1 0.500 0.500 0.000
P1 0.000 0.500 0.500
W1 0.500 0.500 0.500



[16]
# PBE-GGA LaYTeP, optimized geometry
# raw formation energy = -1.5576 eV per atom
# raw total energy = -6.54 eV/atom
# size of the total moment = 0.0 μB per formula unit
# DOS(E_F) = 2.8 states/eV/f.u.
# density = 5.63 g/cm3
data_LaYTeP
_space_group_name_H-M_alt 'R 3 m'
_space_group_IT_number 160
_space_group_name_Hall 'R 3 -2"'
_cell_length_a 4.1904
_cell_length_b 4.1904
_cell_length_c 22.4875
_cell_angle_alpha 90.00
_cell_angle_beta 90.00
_cell_angle_gamma 120.00
loop_
_atom_site_label
_atom_site_fract_x
_atom_site_fract_y
_atom_site_fract_z
La1 0.0000 0.0000 0.0000
Y1 0.0000 0.0000 0.1932
Te1 0.0000 0.0000 0.4338
P1 0.0000 0.0000 0.5936



[17]
# PBE-GGA LaTh3P4, optimized geometry
# raw total energy = -7.67 eV/atom
# size of the total moment = 0.0 μB per formula unit
# DOS(E_F) = 3.5 states/eV/f.u.
# density = 7.76 g/cm3
data_LaTh3P4
_space_group_name_H-M_alt 'C m m m'
_space_group_IT_number 65
_space_group_name_Hall '-C 2 2'
_cell_length_a 8.361
_cell_length_b 11.788
_cell_length_c 4.161
_cell_angle_alpha 90.00
_cell_angle_beta 90.00
_cell_angle_gamma 90.00
loop_
_atom_site_label
_atom_site_fract_x
_atom_site_fract_y
_atom_site_fract_z
La1 0.000 0.000 0.000
Th1 0.000 0.500 0.000
Th2 0.250 0.250 0.500
P1 0.000 0.253 0.000
P2 0.244 0.500 0.500



[18]
# PBE-GGA LaThP, optimized geometry
# raw total energy = -6.81 eV/atom
# size of the total moment = 0.0 μB per formula unit
# DOS(E_F) = 3.6 states/eV/f.u.
# density = 7.13 g/cm3
# offset from the most stable computed form = 0.00 eV per formula unit
data_LaThP
_space_group_name_H-M_alt 'P 1 21/m 1'
_space_group_IT_number 11
_space_group_name_Hall '-P 2yb'
_cell_length_a 4.058
_cell_length_b 5.790
_cell_length_c 8.155
_cell_angle_alpha 90.00
_cell_angle_beta 102.17
_cell_angle_gamma 90.00
loop_
_atom_site_label
_atom_site_fract_x
_atom_site_fract_y
_atom_site_fract_z
La1 0.093 0.250 0.124
Th1 0.309 0.250 0.633
P1 0.299 0.750 0.619



[19]
# PBE-GGA La5ThP6, optimized geometry
# raw total energy = -6.97 eV/atom
# size of the total moment = 0.0 μB per formula unit
# DOS(E_F) = 3.4 states/eV/f.u.
# density = 5.67 g/cm3
data_La5ThP6
_space_group_name_H-M_alt 'C 1 2/m 1'
_space_group_IT_number 12
_space_group_name_Hall '-C 2y'
_cell_length_a 7.363
_cell_length_b 12.745
_cell_length_c 7.359
_cell_angle_alpha 90.00
_cell_angle_beta 109.48
_cell_angle_gamma 90.00
loop_
_atom_site_label
_atom_site_fract_x
_atom_site_fract_y
_atom_site_fract_z
La1 0.000 0.000 0.000
La2 0.000 0.166 0.500
La3 0.000 0.332 0.000
Th1 0.000 0.500 0.500
P1 0.244 0.500 0.254
P2 0.245 0.337 0.746



[20]
# PBE-GGA LaThP, optimized geometry
# raw total energy = -6.76 eV/atom
# size of the total moment = 0.1 μB per formula unit
# DOS(E_F) = 2.8 states/eV/f.u.
# density = 7.05 g/cm3
# offset from the most stable computed form = 0.15 eV per formula unit
data_LaThP
_space_group_name_H-M_alt 'P 3 m 1'
_space_group_IT_number 156
_space_group_name_Hall 'P 3 -2"'
_cell_length_a 4.0097
_cell_length_b 4.0097
_cell_length_c 6.7996
_cell_angle_alpha 90.00
_cell_angle_beta 90.00
_cell_angle_gamma 120.00
loop_
_atom_site_label
_atom_site_fract_x
_atom_site_fract_y
_atom_site_fract_z
La1 0.0000 0.0000 0.0000
Th1 0.6667 0.3333 0.5055
P1 0.3333 0.6667 0.2589